(A)
This record from the Alexandria database describes an optimized crystal structure of KZnTeI2. The functional is GGA-PBE.

The calculation puts the total magnetization at 3.083 μB/f.u. Its crystal system is tetragonal. Its symmetry is No. 123.

Cell: 6.644 6.644 6.876 Å, 90.00 90.00 90.00°
Last column: magnetic moment on the atom in μB.
Fractional positions:
Te: 0.000 0.000 0.500  0.96
I: 0.500 0.000 0.000  0.29
K: 0.000 0.000 0.000  0.00
Zn: 0.500 0.500 0.500  0.12
I: 0.000 0.500 0.000  0.29



(B)
This record from the Alexandria database describes an optimized crystal structure of KZnTeI2. The functional is GGA-PBE.

The calculation puts the total magnetization at 0.000 μB/f.u. Its crystal system is tetragonal. Its symmetry is No. 123.

Cell: 5.920 5.920 5.318 Å, 90.00 90.00 90.00°
Fractional positions:
K: 0.500 0.500 0.500
I: 0.500 0.000 0.000
Zn: 0.000 0.000 0.000
Te: 0.000 0.000 0.500
I: 0.000 0.500 0.000



Ordering by calculated energy gives the sequence (B), (A), with the first entry being the most stable.



(A)
This record from the Alexandria database describes an optimized crystal structure of KZrTeI2. The functional is GGA-PBE.

The calculation puts the total magnetization at 0.986 μB/f.u. Its crystal system is tetragonal. Its symmetry is No. 123.

Cell: 6.002 6.002 6.169 Å, 90.00 90.00 90.00°
Last column: magnetic moment on the atom in μB.
Fractional positions:
K: 0.000 0.000 0.000  -0.02
Zr: 0.500 0.500 0.500  1.48
I: 0.500 0.000 0.000  -0.10
Te: 0.000 0.000 0.500  -0.46
I: 0.000 0.500 0.000  -0.10



(B)
This record from the Alexandria database describes an optimized crystal structure of KZrTeI2. The functional is GGA-PBE.

The calculation puts the total magnetization at 0.000 μB/f.u. Its crystal system is tetragonal. Its symmetry is No. 123.

Cell: 5.878 5.878 5.655 Å, 90.00 90.00 90.00°
Fractional positions:
I: 0.000 0.500 0.000
Te: 0.000 0.000 0.500
I: 0.500 0.000 0.000
Zr: 0.000 0.000 0.000
K: 0.500 0.500 0.500



Ordering by calculated energy gives the sequence (B), (A), with the first entry being the most stable.



(A)
This record from the Alexandria database describes an optimized crystal structure of KTiI2. The functional is GGA-PBE.

The calculation puts the total magnetization at 3.000 μB/f.u. Its crystal system is cubic. Its symmetry is No. 225.

Cell: 5.625 5.625 5.625 Å, 60.00 60.00 60.00°
Last column: magnetic moment on the atom in μB.
Fractional positions:
Ti: 0.500 0.500 0.500  2.18
I: 0.750 0.750 0.750  -0.03
I: 0.250 0.250 0.250  -0.03
K: 0.000 0.000 0.000  0.02



(B)
This record from the Alexandria database describes an optimized crystal structure of KTiI2. The functional is GGA-PBE.

The calculation puts the total magnetization at 3.001 μB/f.u. Its crystal system is trigonal. Its symmetry is No. 166.

Cell: 4.647 4.647 7.782 Å, 72.63 72.63 60.00°
Last column: magnetic moment on the atom in μB.
Fractional positions:
Ti: 0.000 0.000 0.000  2.12
I: 0.730 0.730 0.809  -0.01
K: 0.500 0.500 0.500  0.01
I: 0.270 0.270 0.191  -0.01



Ordering by calculated energy gives the sequence (B), (A), with the first entry being the most stable.



(A)
This record from the Alexandria database describes an optimized crystal structure of KTi2I. The functional is GGA-PBE.

The calculation puts the total magnetization at 0.468 μB/f.u. Its crystal system is tetragonal. Its symmetry is No. 141.

Cell: 4.743 4.743 11.205 Å, 77.78 77.78 90.00°
Last column: magnetic moment on the atom in μB.
Fractional positions:
Ti: 0.875 0.125 0.750  0.16
Ti: 0.875 0.625 0.250  0.17
Ti: 0.375 0.125 0.750  0.15
K: 0.500 0.500 0.000  0.01
Ti: 0.875 0.125 0.250  0.16
K: 0.250 0.750 0.500  0.01
I: 0.000 0.000 0.000  0.00
I: 0.750 0.250 0.500  0.00



(B)
This record from the Alexandria database describes an optimized crystal structure of KTi2I. The functional is GGA-PBE.

The calculation puts the total magnetization at 1.807 μB/f.u. Its crystal system is cubic. Its symmetry is No. 225.

Cell: 5.054 5.054 5.054 Å, 60.00 60.00 60.00°
Last column: magnetic moment on the atom in μB.
Fractional positions:
Ti: 0.250 0.250 0.250  0.65
Ti: 0.750 0.750 0.750  0.65
I: 0.500 0.500 0.500  0.01
K: 0.000 0.000 0.000  0.04



Ordering by calculated energy gives the sequence (A), (B), with the first entry being the most stable.



(A)
This record from the Alexandria database describes an optimized crystal structure of KTi2I2. The functional is GGA-PBE.

The calculation puts the total magnetization at 0.799 μB/f.u. Its crystal system is tetragonal. Its symmetry is No. 127.

Cell: 8.878 8.878 3.755 Å, 90.00 90.00 90.00°
Last column: magnetic moment on the atom in μB.
Fractional positions:
I: 0.825 0.325 0.500  0.00
Ti: 0.421 0.921 0.000  0.42
K: 0.000 0.000 0.000  0.00
I: 0.325 0.175 0.500  0.00
Ti: 0.579 0.079 0.000  0.42
K: 0.500 0.500 0.000  0.00
I: 0.675 0.825 0.500  0.00
Ti: 0.921 0.579 0.000  0.39
I: 0.175 0.675 0.500  0.00
Ti: 0.079 0.421 0.000  0.39



(B)
This record from the Alexandria database describes an optimized crystal structure of KTi2I2. The functional is GGA-PBE.

The calculation puts the total magnetization at 1.109 μB/f.u. Its crystal system is tetragonal. Its symmetry is No. 139.

Cell: 5.475 5.475 5.982 Å, 62.76 62.76 90.00°
Last column: magnetic moment on the atom in μB.
Fractional positions:
Ti: 0.393 0.393 0.215  0.41
I: 0.250 0.750 0.500  0.00
K: 0.000 0.000 0.000  0.01
Ti: 0.607 0.607 0.785  0.41
I: 0.750 0.250 0.500  0.00



Ordering by calculated energy gives the sequence (B), (A), with the first entry being the most stable.



(A)
This record from the Alexandria database describes an optimized crystal structure of K2Tl2I. The functional is GGA-PBE.

The calculation puts the total magnetization at 0.000 μB/f.u. Its crystal system is tetragonal. Its symmetry is No. 127.

Cell: 9.300 9.300 4.929 Å, 90.00 90.00 90.00°
Fractional positions:
K: 0.187 0.687 0.500
K: 0.813 0.313 0.500
K: 0.687 0.813 0.500
K: 0.313 0.187 0.500
Tl: 0.617 0.117 0.000
I: 0.500 0.500 0.000
Tl: 0.117 0.383 0.000
Tl: 0.383 0.883 0.000
Tl: 0.883 0.617 0.000
I: 0.000 0.000 0.000



(B)
This record from the Alexandria database describes an optimized crystal structure of K2Tl2I. The functional is GGA-PBE.

The calculation puts the total magnetization at 0.000 μB/f.u. Its crystal system is tetragonal. Its symmetry is No. 127.

Cell: 9.304 9.304 5.384 Å, 90.00 90.00 90.00°
Fractional positions:
K: 0.683 0.183 0.000
Tl: 0.881 0.381 0.500
I: 0.500 0.500 0.000
Tl: 0.619 0.881 0.500
K: 0.317 0.817 0.000
K: 0.183 0.317 0.000
K: 0.817 0.683 0.000
I: 0.000 0.000 0.000
Tl: 0.119 0.619 0.500
Tl: 0.381 0.119 0.500



(C)
This record from the Alexandria database describes an optimized crystal structure of K2Tl2I. The functional is GGA-PBE.

The calculation puts the total magnetization at 0.000 μB/f.u. Its crystal system is tetragonal. Its symmetry is No. 139.

Cell: 5.435 5.435 8.632 Å, 71.65 71.65 90.00°
Fractional positions:
I: 0.000 0.000 0.000
Tl: 0.407 0.407 0.185
K: 0.250 0.750 0.500
Tl: 0.593 0.593 0.815
K: 0.750 0.250 0.500



Ordering by calculated energy gives the sequence (B), (A), (C), with the first entry being the most stable.



(A)
This record from the Alexandria database describes an optimized crystal structure of KTlI3. The functional is GGA-PBE.

The calculation puts the total magnetization at 0.000 μB/f.u. Its crystal system is orthorhombic. Its symmetry is No. 62.

Cell: 4.956 9.679 17.431 Å, 90.00 90.00 90.00°
Fractional positions:
I: 0.750 0.811 0.778
K: 0.250 0.085 0.826
Tl: 0.750 0.161 0.562
I: 0.750 0.040 0.382
Tl: 0.750 0.661 0.938
I: 0.750 0.150 0.998
I: 0.750 0.650 0.502
I: 0.250 0.460 0.882
Tl: 0.250 0.339 0.062
I: 0.750 0.540 0.118
I: 0.250 0.350 0.498
K: 0.250 0.585 0.674
I: 0.250 0.850 0.002
K: 0.750 0.915 0.174
I: 0.250 0.689 0.278
K: 0.750 0.415 0.326
I: 0.750 0.311 0.722
Tl: 0.250 0.839 0.438
I: 0.250 0.189 0.222
I: 0.250 0.960 0.618



(B)
This record from the Alexandria database describes an optimized crystal structure of KTlI3. The functional is GGA-PBE.

The calculation puts the total magnetization at 1.000 μB/f.u. Its crystal system is cubic. Its symmetry is No. 221.

Cell: 6.543 6.543 6.543 Å, 90.00 90.00 90.00°
Last column: magnetic moment on the atom in μB.
Fractional positions:
I: 0.000 0.500 0.000  0.25
I: 0.500 0.000 0.000  0.21
I: 0.000 0.000 0.500  0.16
Tl: 0.500 0.500 0.500  0.00
K: 0.000 0.000 0.000  0.00



(C)
This record from the Alexandria database describes an optimized crystal structure of KTlI3. The functional is GGA-PBE.

The calculation puts the total magnetization at 0.000 μB/f.u. Its crystal system is cubic. Its symmetry is No. 221.

Cell: 6.224 6.224 6.224 Å, 90.00 90.00 90.00°
Fractional positions:
Tl: 0.000 0.000 0.000
K: 0.500 0.500 0.500
I: 0.500 0.000 0.000
I: 0.000 0.000 0.500
I: 0.000 0.500 0.000



Ordering by calculated energy gives the sequence (A), (C), (B), with the first entry being the most stable.



(A)
This record from the Alexandria database describes an optimized crystal structure of KTl2I. The functional is GGA-PBE.

The calculation puts the total magnetization at 0.000 μB/f.u. Its crystal system is cubic. Its symmetry is No. 225.

Cell: 6.028 6.028 6.028 Å, 60.00 60.00 60.00°
Fractional positions:
K: 0.000 0.000 0.000
Tl: 0.250 0.250 0.250
Tl: 0.750 0.750 0.750
I: 0.500 0.500 0.500



(B)
This record from the Alexandria database describes an optimized crystal structure of KTl2I. The functional is GGA-PBE.

The calculation puts the total magnetization at 0.000 μB/f.u. Its crystal system is tetragonal. Its symmetry is No. 122.

Cell: 9.994 9.994 7.829 Å, 50.34 50.34 90.00°
Fractional positions:
K: 0.500 0.500 0.000
Tl: 0.646 0.125 0.250
Tl: 0.375 0.354 0.750
I: 0.000 0.000 0.000
Tl: 0.104 0.625 0.250
Tl: 0.875 0.896 0.750
I: 0.750 0.250 0.500
K: 0.250 0.750 0.500



Ordering by calculated energy gives the sequence (B), (A), with the first entry being the most stable.